<A>
First-principles (GGA-PBE) data for TbErZnHg after structural relaxation, as listed in Alexandria via LeMat-Bulk.

Calculated values
Space group = P4mm (99)
DOS(E_F) = 3.597 states/eV/f.u.

Cell: 3.599 3.599 7.412 Å, 90.00 90.00 90.00°
Fractional coordinates of all 4 atoms:
Tb (0.000, 0.000, 0.840)
Hg (0.500, 0.500, 0.114)
Er (0.000, 0.000, 0.373)
Zn (0.500, 0.500, 0.600)

***

<B>
First-principles (GGA-PBE) data for TbErZnHg after structural relaxation, as listed in Alexandria via LeMat-Bulk.

Calculated values
Space group = F-43m (216)
DOS(E_F) = 4.106 states/eV/f.u.

Cell: 5.159 5.159 5.159 Å, 60.00 60.00 60.00°
Fractional coordinates of all 4 atoms:
Zn (0.500, 0.500, 0.500)
Er (0.250, 0.250, 0.250)
Hg (0.000, 0.000, 0.000)
Tb (0.750, 0.750, 0.750)

***

Stability, lowest: <B>

***

<A>
First-principles (GGA-PBE) data for Er3HgTe2 after structural relaxation, as listed in Alexandria via LeMat-Bulk.

Calculated values
Space group = Fddd (70)
DOS(E_F) = 4.106 states/eV/f.u.

Cell: 7.528 7.528 13.456 Å, 101.01 101.01 108.49°
Fractional coordinates of all 24 atoms:
Hg (0.917, 0.917, 0.833)
Hg (0.083, 0.083, 0.167)
Hg (0.167, 0.667, 0.333)
Hg (0.333, 0.833, 0.667)
Er (0.664, 0.153, 0.829)
Er (0.324, 0.835, 0.171)
Er (0.011, 0.511, 0.500)
Er (0.926, 0.915, 0.329)
Er (0.239, 0.239, 0.000)
Er (0.847, 0.336, 0.171)
Er (0.085, 0.074, 0.671)
Er (0.489, 0.989, 0.500)
Er (0.586, 0.597, 0.671)
Er (0.403, 0.414, 0.329)
Er (0.761, 0.761, 0.000)
Er (0.165, 0.676, 0.829)
Te (0.747, 0.747, 0.495)
Te (0.669, 0.169, 0.338)
Te (0.831, 0.331, 0.662)
Te (0.581, 0.581, 0.162)
Te (0.503, 0.003, 0.005)
Te (0.419, 0.419, 0.838)
Te (0.997, 0.497, 0.995)
Te (0.253, 0.253, 0.505)

***

<B>
First-principles (GGA-PBE) data for Er3HgTe2 after structural relaxation, as listed in Alexandria via LeMat-Bulk.

Calculated values
Space group = Immm (71)
DOS(E_F) = 2.564 states/eV/f.u.

Cell: 4.143 6.125 7.670 Å, 113.53 105.67 90.00°
Fractional coordinates of all 6 atoms:
Er (0.159, 0.659, 0.818)
Er (0.500, 0.000, 0.500)
Er (0.841, 0.341, 0.182)
Hg (0.500, 0.500, 0.500)
Te (0.829, 0.829, 0.159)
Te (0.171, 0.171, 0.841)

***

Stability, lowest: <A>

***

<A>
First-principles (GGA-PBE) data for Er4HgTe after structural relaxation, as listed in Alexandria via LeMat-Bulk.

Calculated values
Space group = Pnma (62)
DOS(E_F) = 5.819 states/eV/f.u.

Cell: 3.916 8.432 19.934 Å, 90.00 90.00 90.00°
Fractional coordinates of all 24 atoms:
Hg (0.250, 0.756, 0.546)
Hg (0.750, 0.244, 0.454)
Hg (0.750, 0.744, 0.046)
Hg (0.250, 0.256, 0.954)
Er (0.750, 0.838, 0.658)
Er (0.250, 0.162, 0.342)
Er (0.750, 0.474, 0.573)
Er (0.750, 0.338, 0.842)
Er (0.250, 0.016, 0.783)
Er (0.250, 0.026, 0.073)
Er (0.750, 0.484, 0.283)
Er (0.250, 0.121, 0.565)
Er (0.250, 0.516, 0.717)
Er (0.750, 0.984, 0.217)
Er (0.250, 0.621, 0.935)
Er (0.750, 0.379, 0.065)
Er (0.250, 0.526, 0.427)
Er (0.750, 0.879, 0.435)
Er (0.750, 0.974, 0.927)
Er (0.250, 0.662, 0.158)
Te (0.250, 0.284, 0.188)
Te (0.750, 0.716, 0.812)
Te (0.750, 0.216, 0.688)
Te (0.250, 0.784, 0.312)

***

<B>
First-principles (GGA-PBE) data for Er4HgTe after structural relaxation, as listed in Alexandria via LeMat-Bulk.

Calculated values
Space group = P2_1/m (11)
DOS(E_F) = 5.565 states/eV/f.u.

Cell: 6.014 7.890 8.240 Å, 90.00 90.00 107.40°
Fractional coordinates of all 12 atoms:
Er (0.971, 0.257, 0.953)
Er (0.971, 0.257, 0.547)
Er (0.029, 0.743, 0.047)
Er (0.565, 0.994, 0.250)
Er (0.389, 0.514, 0.250)
Er (0.029, 0.743, 0.453)
Er (0.435, 0.006, 0.750)
Er (0.611, 0.486, 0.750)
Te (0.109, 0.083, 0.250)
Te (0.891, 0.917, 0.750)
Hg (0.819, 0.417, 0.250)
Hg (0.181, 0.583, 0.750)

***

Stability, lowest: <B>

***

<A>
First-principles (GGA-PBE) data for ErThHg after structural relaxation, as listed in Alexandria via LeMat-Bulk.

Calculated values
Space group = Cmcm (63)
DOS(E_F) = 3.051 states/eV/f.u.

Cell: 3.546 5.445 8.959 Å, 90.00 101.41 90.00°
Fractional coordinates of all 6 atoms:
Hg (0.437, 0.250, 0.875)
Hg (0.563, 0.750, 0.125)
Th (0.226, 0.750, 0.452)
Th (0.774, 0.250, 0.548)
Er (0.914, 0.750, 0.828)
Er (0.086, 0.250, 0.172)

***

<B>
First-principles (GGA-PBE) data for ErThHg after structural relaxation, as listed in Alexandria via LeMat-Bulk.

Calculated values
Space group = I4mm (107)
DOS(E_F) = 2.137 states/eV/f.u.

Cell: 3.603 3.603 7.078 Å, 104.75 104.75 90.00°
Fractional coordinates of all 3 atoms:
Er (0.318, 0.318, 0.635)
Hg (0.678, 0.678, 0.355)
Th (0.005, 0.005, 0.009)

***

Stability, lowest: <A>

***

<A>
First-principles (GGA-PBE) data for ErThHg3 after structural relaxation, as listed in Alexandria via LeMat-Bulk.

Calculated values
Space group = Cmcm (63)
DOS(E_F) = 3.860 states/eV/f.u.

Cell: 3.526 4.957 14.786 Å, 90.00 96.85 90.00°
Fractional coordinates of all 10 atoms:
Hg (0.683, 0.250, 0.366)
Hg (0.317, 0.750, 0.634)
Hg (0.376, 0.250, 0.752)
Hg (0.475, 0.250, 0.951)
Hg (0.525, 0.750, 0.049)
Hg (0.624, 0.750, 0.248)
Er (0.788, 0.250, 0.576)
Er (0.212, 0.750, 0.424)
Th (0.924, 0.750, 0.847)
Th (0.076, 0.250, 0.153)

***

<B>
First-principles (GGA-PBE) data for ErThHg3 after structural relaxation, as listed in Alexandria via LeMat-Bulk.

Calculated values
Space group = Imma (74)
DOS(E_F) = 2.967 states/eV/f.u.

Cell: 5.379 6.363 8.950 Å, 110.82 107.50 90.00°
Fractional coordinates of all 10 atoms:
Th (0.810, 0.560, 0.120)
Th (0.190, 0.440, 0.880)
Hg (0.593, 0.343, 0.685)
Hg (0.990, 0.240, 0.480)
Hg (0.407, 0.657, 0.315)
Hg (0.796, 0.046, 0.092)
Hg (0.010, 0.760, 0.520)
Hg (0.204, 0.954, 0.908)
Er (0.395, 0.145, 0.290)
Er (0.605, 0.855, 0.710)

***

Stability, lowest: <B>

***

<A>
First-principles (GGA-PBE) data for ErThHg4 after structural relaxation, as listed in Alexandria via LeMat-Bulk.

Calculated values
Space group = C2/m (12)
DOS(E_F) = 3.118 states/eV/f.u.

Cell: 3.519 6.366 8.230 Å, 113.43 77.66 73.96°
Fractional coordinates of all 6 atoms:
Hg (0.348, 0.980, 0.324)
Hg (0.178, 0.490, 0.153)
Hg (0.652, 0.020, 0.676)
Hg (0.822, 0.510, 0.847)
Th (0.500, 0.500, 0.500)
Er (0.000, 0.000, 0.000)

***

<B>
First-principles (GGA-PBE) data for ErThHg4 after structural relaxation, as listed in Alexandria via LeMat-Bulk.

Calculated values
Space group = P2/m (10)
DOS(E_F) = 3.334 states/eV/f.u.

Cell: 3.400 5.008 9.338 Å, 90.00 111.13 90.00°
Fractional coordinates of all 6 atoms:
Th (0.501, 0.497, 0.998)
Hg (0.829, 0.997, 0.826)
Hg (0.669, 0.497, 0.660)
Hg (0.174, 0.997, 0.170)
Hg (0.334, 0.497, 0.336)
Er (0.001, 0.997, 0.498)

***

<C>
First-principles (GGA-PBE) data for ErThHg4 after structural relaxation, as listed in Alexandria via LeMat-Bulk.

Calculated values
Space group = F-43m (216)
DOS(E_F) = 5.197 states/eV/f.u.

Cell: 5.976 5.976 5.976 Å, 60.00 60.00 60.00°
Last column: magnetic moment on the atom in μB.
Fractional coordinates of all 6 atoms:
Th (0.250, 0.250, 0.250)  0.22
Hg (0.625, 0.625, 0.625)  0.01
Hg (0.625, 0.125, 0.625)  0.01
Hg (0.625, 0.625, 0.125)  0.01
Hg (0.125, 0.625, 0.625)  0.01
Er (0.000, 0.000, 0.000)  0.27

***

Stability, lowest: <C>

***

<A>
First-principles (GGA-PBE) data for Er2TlHg4 after structural relaxation, as listed in Alexandria via LeMat-Bulk.

Calculated values
Space group = R-3m (166)
DOS(E_F) = 3.219 states/eV/f.u.

Cell: 5.235 5.235 8.031 Å, 70.98 70.98 60.00°
Fractional coordinates of all 7 atoms:
Hg (0.423, 0.423, 0.730)
Hg (0.142, 0.142, 0.574)
Hg (0.577, 0.577, 0.270)
Hg (0.858, 0.858, 0.426)
Er (0.720, 0.720, 0.839)
Er (0.280, 0.280, 0.161)
Tl (0.000, 0.000, 0.000)

***

<B>
First-principles (GGA-PBE) data for Er2TlHg4 after structural relaxation, as listed in Alexandria via LeMat-Bulk.

Calculated values
Space group = I4/mmm (139)
DOS(E_F) = 6.989 states/eV/f.u.

Cell: 5.712 5.712 7.288 Å, 113.07 113.07 90.00°
Fractional coordinates of all 7 atoms:
Hg (0.500, 0.000, 0.000)
Hg (0.750, 0.250, 0.500)
Hg (0.000, 0.500, 0.000)
Hg (0.250, 0.750, 0.500)
Er (0.642, 0.642, 0.284)
Er (0.358, 0.358, 0.716)
Tl (0.000, 0.000, 0.000)

***

Stability, lowest: <B>

***

<A>
First-principles (GGA-PBE) data for Er4Tl2Hg after structural relaxation, as listed in Alexandria via LeMat-Bulk.

Calculated values
Space group = R-3m (166)
DOS(E_F) = 6.567 states/eV/f.u.

Cell: 5.211 5.211 9.029 Å, 73.23 73.23 60.00°
Fractional coordinates of all 7 atoms:
Er (0.623, 0.623, 0.132)
Er (0.874, 0.874, 0.378)
Er (0.377, 0.377, 0.868)
Er (0.126, 0.126, 0.622)
Hg (0.000, 0.000, 0.000)
Tl (0.753, 0.753, 0.741)
Tl (0.247, 0.247, 0.259)

***

<B>
First-principles (GGA-PBE) data for Er4Tl2Hg after structural relaxation, as listed in Alexandria via LeMat-Bulk.

Calculated values
Space group = P2_1/m (11)
DOS(E_F) = 4.971 states/eV/f.u.

Cell: 7.099 6.726 9.250 Å, 90.00 113.82 90.00°
Fractional coordinates of all 14 atoms:
Tl (0.759, 0.750, 0.056)
Tl (0.619, 0.750, 0.542)
Tl (0.381, 0.250, 0.458)
Tl (0.241, 0.250, 0.944)
Er (0.440, 0.508, 0.768)
Er (0.029, 0.750, 0.839)
Er (0.560, 0.492, 0.232)
Er (0.033, 0.750, 0.445)
Er (0.971, 0.250, 0.161)
Er (0.967, 0.250, 0.555)
Er (0.560, 0.008, 0.232)
Er (0.440, 0.992, 0.768)
Hg (0.208, 0.750, 0.197)
Hg (0.792, 0.250, 0.803)

***

Stability, lowest: <B>